Entry 1:
Here is a relaxed Re2MoP crystal from the Alexandria database. Energies are from PBE.

For the spin magnetization, the calculation gives 0.000 μB/atom. The space group is Cmm2 (35). The value obtained for the energy of formation is 0.289 eV per atom.

a b c (Å): 2.7927 2.7927 8.2787
angles (deg): 90.00 90.00 114.52
Sites, in units of the cell vectors:
Re (0.5000, 0.5000, 0.7496)
Re (0.0000, 0.0000, 0.0246)
P (0.5000, 0.5000, 0.2471)
Mo (0.0000, 0.0000, 0.4786)

Entry 2:
Here is a relaxed Cr2ReBr crystal from the Alexandria database. Energies are from PBE.

For the distance to the lowest polymorph of the same formula, the calculation gives 0 meV/atom. The calculation puts the raw formation energy at 144 kJ/mol of formula units. For the spin magnetization, the calculation gives 1.008 μB/atom. The space group is P2/m (10).

a b c (Å): 3.0146 3.0962 7.2312
angles (deg): 89.88 90.00 90.00
Last column: magnetic moment on the atom in μB.
Sites, in units of the cell vectors:
Br (0.5000, 0.7500, 0.7500)  0.01
Cr (0.0000, 0.7485, 0.4491)  2.23
Cr (0.0000, 0.7515, 0.0509)  2.23
Re (0.5000, 0.2500, 0.2500)  -0.74

Entry 3:
Here is a relaxed Tb4GaTe2 crystal from the Alexandria database. Energies are from PBE.

The calculation puts the raw formation energy at -578 kJ/mol of formula units. For the spin magnetization, the calculation gives 0.000 μB/atom. The space group is Cmcm (63).

a b c (Å): 4.2512 7.2711 14.2544
angles (deg): 90.00 90.00 107.00
Sites, in units of the cell vectors:
Te (0.1417, 0.2834, 0.0681)
Te (0.1417, 0.2834, 0.4319)
Te (0.8583, 0.7166, 0.9319)
Te (0.8583, 0.7166, 0.5681)
Ga (0.3874, 0.7749, 0.2500)
Ga (0.6126, 0.2251, 0.7500)
Tb (0.0310, 0.0619, 0.2500)
Tb (0.5000, 0.0000, 0.0000)
Tb (0.7886, 0.5772, 0.3683)
Tb (0.2114, 0.4228, 0.8683)
Tb (0.7886, 0.5772, 0.1317)
Tb (0.2114, 0.4228, 0.6317)
Tb (0.5000, 0.0000, 0.5000)
Tb (0.9690, 0.9381, 0.7500)

Entry 4:
Here is a relaxed LiNdPtRh crystal from the Alexandria database. Energies are from PBE.

For the distance to the lowest polymorph of the same formula, the calculation gives 76 meV/atom. For the spin magnetization, the calculation gives 0.000 μB/atom. The space group is F-43m (216). The value obtained for the energy of formation is -0.481 eV per atom.

a b c (Å): 4.6804 4.6804 4.6804
angles (deg): 60.00 60.00 60.00
Sites, in units of the cell vectors:
Pt (0.0000, 0.0000, 0.0000)
Nd (0.5000, 0.5000, 0.5000)
Li (0.7500, 0.7500, 0.7500)
Rh (0.2500, 0.2500, 0.2500)